CsCu3I: relaxed, PBE.

It has space group Pm-3m (No. 221), with a = 5.560 Å, b = 5.560 Å, c = 5.560 Å, α = 90.00°, β = 90.00° and γ = 90.00°. The asymmetric unit holds Cs at (0.000, 0.000, 0.000), Cu at (0.000, 0.000, 0.500) and I at (0.500, 0.500, 0.500).

The value obtained for the size of the total moment is 0.0 Bohr magnetons per cell. The relative energy among the computed polymorphs is 738 meV/atom. Its total DFT energy (no corrections) is -7.3 eV per cell. The calculation puts the volume at 34.374 Å³ per atom. As for the uncorrected formation energy: 1.472 eV per atom.